Record 1
# Li2CuHgH, optimized geometry, DFT PBE
data_Li2CuHgH
_chemical_formula_sum 'Li2 Cu1 Hg1 H1'
_space_group_name_H-M_alt 'P 1'
_space_group_IT_number 1
_space_group_name_Hall 'P 1'
_cell_length_a 5.123
_cell_length_b 5.123
_cell_length_c 3.581
_cell_angle_alpha 90.00
_cell_angle_beta 90.00
_cell_angle_gamma 90.00
loop_
_atom_site_label
_atom_site_type_symbol
_atom_site_fract_x
_atom_site_fract_y
_atom_site_fract_z
Li1 Li 0.000 0.500 0.000
Li2 Li 0.500 0.000 0.000
Cu1 Cu 0.000 0.000 0.500
Hg1 Hg 0.500 0.500 0.000
H1 H 0.500 0.500 0.500
# Total DFT energy (no corrections), eV per atom: -1.942
# SG: No. 123
# E above lowest polymorph, eV per formula unit: 2.86

***

Record 2
# LiCu2HgH, optimized geometry, DFT PBE
data_LiCu2HgH
_chemical_formula_sum 'Li1 Cu2 Hg1 H1'
_space_group_name_H-M_alt 'P 1'
_space_group_IT_number 1
_space_group_name_Hall 'P 1'
_cell_length_a 3.827
_cell_length_b 3.827
_cell_length_c 4.098
_cell_angle_alpha 90.00
_cell_angle_beta 90.00
_cell_angle_gamma 90.00
loop_
_atom_site_label
_atom_site_type_symbol
_atom_site_fract_x
_atom_site_fract_y
_atom_site_fract_z
Li1 Li 0.000 0.000 0.000
Cu1 Cu 0.000 0.500 0.500
Cu2 Cu 0.500 0.000 0.500
Hg1 Hg 0.500 0.500 0.000
H1 H 0.000 0.000 0.500
# Total DFT energy (no corrections), eV per atom: -2.779
# SG: No. 123